No. 1
Entry from Alexandria via LeMat-Bulk: a PBEsol-optimized structure of KCo3Te (SCAN).

Unit cell a=4.4391 b=4.4391 c=4.4391 alpha=90.00 beta=90.00 gamma=90.00
Last column: nearest neighbours and their distance in Å.
Space group Pm-3m (No. 221)
Asymmetric unit:
K  0.0000  0.0000  0.0000 x1  6 Co 2.22
Co  0.0000  0.0000  0.5000 x3  2 K 2.22
Te  0.5000  0.5000  0.5000 x1  12 Co 3.14

Output
Volume ... 87.5 Å³/cell
M_tot ... 0.9803 μB per atom
Mass density ... 6.52 g/cm³
Uncorrected formation energy ... 2160 meV/atom

No. 2
Entry from Alexandria via LeMat-Bulk: a PBEsol-optimized structure of K2LaAu (SCAN).

Unit cell a=7.9315 b=7.9315 c=7.9315 alpha=90.00 beta=90.00 gamma=90.00
Last column: nearest neighbours and their distance in Å.
Space group Fm-3m (No. 225)
Asymmetric unit:
K  0.2500  0.2500  0.2500 x8  4 La 3.43, 4 Au 3.43
La  0.0000  0.0000  0.0000 x4  8 K 3.43
Au  0.0000  0.0000  0.5000 x4  8 K 3.43

Output
Volume ... 499.0 Å³/cell
Offset from the most stable computed form ... 725.2 meV/atom
M_tot ... 0.0296 μB per atom
Mass density ... 5.51 g/cm³
Formation enthalpy at 0 K ... 403 meV per atom

No. 3
Entry from Alexandria via LeMat-Bulk: a PBEsol-optimized structure of Hg2PtCl (SCAN).

Unit cell a=3.0224 b=4.9681 c=5.0124 alpha=90.00 beta=90.00 gamma=90.00
Last column: nearest neighbours and their distance in Å.
Space group Pmmm (No. 47)
Asymmetric unit:
Hg  0.0000  0.0000  0.0000 x1  4 Cl 2.91, 4 Pt 2.93, 2 Hg 3.02
Hg  0.0000  0.5000  0.5000 x1  4 Pt 2.91, 4 Cl 2.93, 2 Hg 3.02
Pt  0.5000  0.0000  0.5000 x1  8 Hg 2.91-2.93, 2 Pt 3.02
Cl  0.5000  0.5000  0.0000 x1  8 Hg 2.91-2.93, 2 Cl 3.02

Output
Volume ... 75.3 Å³/cell
Offset from the most stable computed form ... 0.0 meV/atom
M_tot ... 0.0000 μB per atom
Mass density ... 13.94 g/cm³
Uncorrected formation energy ... 70 meV/atom

No. 4
Entry from Alexandria via LeMat-Bulk: a PBEsol-optimized structure of TlTeI2O (SCAN).

Unit cell a=5.9272 b=5.9272 c=5.8441 alpha=90.00 beta=90.00 gamma=90.00
Last column: nearest neighbours and their distance in Å.
Space group P4/mmm (No. 123)
Asymmetric unit:
Tl  0.0000  0.0000  0.0000 x1  2 Te 2.92, 4 I 2.96
Te  0.0000  0.0000  0.5000 x1  2 Tl 2.92
I  0.0000  0.5000  0.0000 x2  2 Tl 2.96
O  0.5000  0.5000  0.5000 x1  8 I 4.16, 4 Te 4.19

Output
Volume ... 205.3 Å³/cell
Offset from the most stable computed form ... 1161.3 meV/atom
M_tot ... 0.6921 μB per atom
Mass density ... 4.87 g/cm³
Uncorrected formation energy ... 750 meV/atom

No. 5
Entry from Alexandria via LeMat-Bulk: a PBEsol-optimized structure of BeReCl2 (SCAN).

Unit cell a=2.8419 b=7.0358 c=8.6317 alpha=90.00 beta=90.00 gamma=90.00
Last column: nearest neighbours and their distance in Å.
Space group Imm2 (No. 44)
Asymmetric unit:
Be  0.0000  0.0000  0.0000 x2  2 Cl 1.99
Re  0.0000  0.5000  0.2653 x2  2 Cl 2.33, 2 Be 2.47
Cl  0.0000  0.0000  0.5507 x2  2 Re 2.33
Cl  0.0000  0.5000  0.6622 x2  2 Be 1.99

Output
Volume ... 172.6 Å³/cell
Offset from the most stable computed form ... 337.8 meV/atom
M_tot ... 0.5111 μB per atom
Mass density ... 5.12 g/cm³
Uncorrected formation energy ... 364 meV/atom

No. 6
Entry from Alexandria via LeMat-Bulk: a PBEsol-optimized structure of TaCr3F (SCAN).

Unit cell a=4.7315 b=4.7315 c=4.7315 alpha=90.00 beta=90.00 gamma=90.00
Last column: nearest neighbours and their distance in Å.
Space group Pm-3m (No. 221)
Asymmetric unit:
Ta  0.0000  0.0000  0.0000 x1  6 Cr 2.37
Cr  0.0000  0.0000  0.5000 x3  2 Ta 2.37
F  0.5000  0.5000  0.5000 x1  12 Cr 3.35

Output
Volume ... 105.9 Å³/cell
Offset from the most stable computed form ... 1046.4 meV/atom
M_tot ... 2.1703 μB per atom
Mass density ... 5.58 g/cm³
Uncorrected formation energy ... 1290 meV/atom

No. 7
Entry from Alexandria via LeMat-Bulk: a PBEsol-optimized structure of TaTlMo2 (SCAN).

Unit cell a=5.6846 b=9.1972 c=2.8221 alpha=90.00 beta=110.73 gamma=90.00
Last column: nearest neighbours and their distance in Å.
Space group C2/m (No. 12)
Asymmetric unit:
Ta  0.0000  0.0000  0.0000 x2  4 Mo 2.81, 2 Ta 2.82, 2 Tl 2.84
Tl  0.0000  0.5000  0.0000 x2  4 Mo 2.81, 2 Tl 2.82, 2 Ta 2.84
Mo  0.2500  0.2500  0.5000 x4  2 Ta 2.81, 2 Tl 2.81, 4 Mo 2.82-2.84

Output
Volume ... 138.0 Å³/cell
Offset from the most stable computed form ... 115.9 meV/atom
M_tot ... 0.0000 μB per atom
Mass density ... 13.89 g/cm³
Formation enthalpy at 0 K ... 434 meV per atom

No. 8
Entry from Alexandria via LeMat-Bulk: a PBEsol-optimized structure of Li2PRh (SCAN).

Unit cell a=8.1599 b=2.9698 c=4.4657 alpha=90.00 beta=109.83 gamma=90.00
Last column: nearest neighbours and their distance in Å.
Space group Cm (No. 8)
Asymmetric unit:
Li  0.0000  0.0000  0.0000 x2  3 Li 2.30-2.52, 2 P 2.50
Li  0.2345  0.0000  0.8239 x2  3 Li 2.30-2.52, 2 P 2.55
P  0.9998  0.5000  0.4511 x2  3 Rh 2.28-2.40, 4 Li 2.50-2.55
Rh  0.2762  0.5000  0.3713 x2  3 P 2.28-2.40

Output
Volume ... 101.8 Å³/cell
M_tot ... 0.0000 μB per atom
Mass density ... 4.82 g/cm³
Formation enthalpy at 0 K ... -655 meV per atom

No. 9
Entry from Alexandria via LeMat-Bulk: a PBEsol-optimized structure of KLaZr2 (SCAN).

Unit cell a=3.3085 b=5.6005 c=5.9529 alpha=90.00 beta=90.00 gamma=90.00
Last column: nearest neighbours and their distance in Å.
Space group Pmmm (No. 47)
Asymmetric unit:
K  0.0000  0.0000  0.0000 x1  4 La 3.25, 2 K 3.31, 4 Zr 3.41
La  0.5000  0.5000  0.0000 x1  4 K 3.25, 2 La 3.31, 4 Zr 3.41
Zr  0.0000  0.5000  0.5000 x1  6 Zr 3.25-3.31, 4 La 3.41
Zr  0.5000  0.0000  0.5000 x1  6 Zr 3.25-3.31, 4 K 3.41

Output
Volume ... 110.3 Å³/cell
Offset from the most stable computed form ... 466.3 meV/atom
M_tot ... 0.1438 μB per atom
Mass density ... 5.43 g/cm³
Formation enthalpy at 0 K ... 795 meV per atom

No. 10
Entry from Alexandria via LeMat-Bulk: a PBEsol-optimized structure of SrZrAg (SCAN).

Unit cell a=4.6551 b=4.6551 c=4.5786 alpha=90.00 beta=90.00 gamma=120.00
Last column: nearest neighbours and their distance in Å.
Space group P-6m2 (No. 187)
Asymmetric unit:
Sr  0.0000  0.0000  0.0000 x1  6 Ag 3.53, 6 Zr 3.53
Zr  0.6667  0.3333  0.5000 x1  3 Ag 2.69
Ag  0.3333  0.6667  0.5000 x1  3 Zr 2.69

Output
Volume ... 85.9 Å³/cell
Offset from the most stable computed form ... 0.0 meV/atom
M_tot ... 0.0000 μB per atom
Mass density ... 5.54 g/cm³
Formation enthalpy at 0 K ... 341 meV per atom

No. 11
Entry from Alexandria via LeMat-Bulk: a PBEsol-optimized structure of Ni3Ir (SCAN).

Unit cell a=2.5777 b=2.5777 c=24.2142 alpha=90.00 beta=90.00 gamma=120.00
Last column: nearest neighbours and their distance in Å.
Space group R-3m (No. 166, hexagonal axes)
Asymmetric unit:
Ni  0.0000  0.0000  0.0000 x3  12 Ni 2.45-2.58
Ni  0.0000  0.0000  0.2531 x6  9 Ni 2.45-2.58, 3 Ir 2.57
Ir  0.0000  0.0000  0.5000 x3  6 Ni 2.57, 6 Ir 2.58

Output
Volume ... 139.3 Å³/cell
M_tot ... 0.7131 μB per atom
Mass density ... 13.17 g/cm³
Formation enthalpy at 0 K ... 51 meV per atom

No. 12
Entry from Alexandria via LeMat-Bulk: a PBEsol-optimized structure of ZnGaBr2Cl (SCAN).

Unit cell a=4.7797 b=4.7797 c=10.2910 alpha=90.00 beta=90.00 gamma=90.00
Last column: nearest neighbours and their distance in Å.
Space group P4/mmm (No. 123)
Asymmetric unit:
Zn  0.0000  0.0000  0.0000 x1  4 Br 2.39
Ga  0.0000  0.0000  0.5000 x1  4 Cl 3.38
Br  0.0000  0.5000  0.0000 x2  2 Zn 2.39
Cl  0.5000  0.5000  0.5000 x1  4 Ga 3.38

Output
Volume ... 235.1 Å³/cell
M_tot ... 0.0000 μB per atom
Mass density ... 2.33 g/cm³
Uncorrected formation energy ... -298 meV/atom

No. 13
Entry from Alexandria via LeMat-Bulk: a PBEsol-optimized structure of Li2MnAl2O6 (SCAN).

Unit cell a=8.3714 b=4.8922 c=9.9791 alpha=90.00 beta=90.00 gamma=90.00
Last column: nearest neighbours and their distance in Å.
Space group Cmce (No. 64)
Asymmetric unit:
Li  0.2500  0.1026  0.2500 x8  4 O 1.98-2.07
Mn  0.0000  0.0000  0.0000 x4  6 O 1.88-1.93
Al  0.1635  0.0000  0.5000 x8  6 O 1.87-1.95
O  0.0000  0.1710  0.5966 x8  2 Al 1.87, 1 Mn 1.88
O  0.1708  0.1617  0.8974 x16  2 Al 1.90-1.95, 1 Mn 1.93, 2 Li 1.98-2.07

Output
Volume ... 408.7 Å³/cell
M_tot ... 0.2726 μB per atom
Mass density ... 3.56 g/cm³
Uncorrected formation energy ... -2713 meV/atom

No. 14
Entry from Alexandria via LeMat-Bulk: a PBEsol-optimized structure of LaMg2Co (SCAN).

Unit cell a=3.9697 b=3.9697 c=5.2800 alpha=90.00 beta=90.00 gamma=90.00
Last column: nearest neighbours and their distance in Å.
Space group P4/mmm (No. 123)
Asymmetric unit:
La  0.0000  0.0000  0.0000 x1  4 Co 2.81
Mg  0.0000  0.5000  0.5000 x2  4 Mg 2.81
Co  0.5000  0.5000  0.0000 x1  4 La 2.81

Output
Volume ... 83.2 Å³/cell
M_tot ... 0.0000 μB per atom
Mass density ... 4.92 g/cm³
Formation enthalpy at 0 K ... 226 meV per atom